! PBE-GGA Li8AgPd5, relaxed; values from VASP
&SYSTEM
  ibrav = 0, nat = 14, ntyp = 3
/
ATOMIC_SPECIES
Li 6.94 Li.upf
Ag 107.87 Ag.upf
Pd 106.42 Pd.upf
ATOMIC_POSITIONS angstrom
Li 1.1938 -0.6500 2.0535
Li 2.4469 4.2906 -1.8420
Li 0.5306 2.4046 0.6957
Li 2.9907 2.4469 1.8420
Li -0.5306 4.8767 0.6957
Li -1.2360 3.1101 3.1998
Li 0.6500 1.1938 5.7375
Li 1.2360 4.1713 3.1998
Ag 3.6407 0.0000 1.9477
Pd 0.0000 0.0000 0.0000
Pd 2.6947 2.0449 -0.6076
Pd 1.5957 -0.9459 4.5031
Pd 0.9459 1.5957 3.2879
Pd 2.0449 4.5866 0.6076
CELL_PARAMETERS angstrom
-3.6407 3.6407 3.8955
3.6407 -3.6407 3.8955
3.6407 3.6407 -3.8955
! * electronic total energy: -0.2489 Ry/atom
! * space group: I-4 (82)
! * crystal system: tetragonal
! * ΔE_f: -3.3 eV per formula unit
! * DOS at the Fermi energy: 4.18 states/eV/f.u.